# 1
Computed, not measured: a relaxed structure of SrBeGa at the PBE-GGA level of DFT.

The structure belongs to space group Fmm2 (No. 42); the cell edges are 4.6522, 4.9626 and 11.3115 Å and the angles 90.00°, 90.00° and 90.00°. The inequivalent atoms are Sr at (0.0000, 0.0000, 0.0000), Be at (0.0000, 0.0000, 0.2984) and Ga at (0.0000, 0.0000, 0.7125).

Its density of states at the Fermi level is 6.6 states/eV/cell. Its total energy is -7.87 eV/f.u. The calculation puts the total magnetization at 0.000 Bohr magnetons per cell. As for the crystal system: orthorhombic. The formation energy comes out at 0.187 eV per atom.

---

# 2
Computed, not measured: a relaxed structure of CaNdAsAu at the PBE-GGA level of DFT.

The structure belongs to space group F-43m (No. 216); the cell edges are 7.3445, 7.3445 and 7.3445 Å and the angles 90.00°, 90.00° and 90.00°. The inequivalent atoms are Ca at (0.0000, 0.0000, 0.0000), Nd at (0.0000, 0.0000, 0.5000), As at (0.2500, 0.2500, 0.2500) and Au at (0.2500, 0.2500, 0.7500).

Its density of states at the Fermi level is 11.0 states/eV/cell. Its total energy is -18.31 eV/f.u. The calculation puts the total magnetization at 0.000 Bohr magnetons per cell. As for the crystal system: cubic. The formation energy comes out at -0.904 eV per atom.

---

# 3
Computed, not measured: a relaxed structure of LaErMg at the PBE-GGA level of DFT.

The structure belongs to space group I4mm (No. 107); the cell edges are 3.7735, 3.7735 and 12.9756 Å and the angles 90.00°, 90.00° and 90.00°. The inequivalent atoms are La at (0.0000, 0.0000, 0.0000), Er at (0.0000, 0.0000, 0.3149) and Mg at (0.0000, 0.0000, 0.6692).

The polymorph energy (0 for the lowest one) comes out at 0.78 kJ per mole of atoms. Its density of states at the Fermi level is 8.3 states/eV/cell. Its total energy is -11.19 eV/f.u. The calculation puts the total magnetization at 0.557 Bohr magnetons per cell. As for the crystal system: tetragonal. The formation energy comes out at -0.035 eV per atom.

---

V: 261.2, 396.2, 184.8 (Å³ per cell)